[1]
Below is a relaxed structure of Mn2HW, with properties calculated at the PBE level.

Unit cell a=4.894 b=4.894 c=4.894 alpha=119.56 beta=119.56 gamma=90.77
Fractional coordinates of all 8 atoms:
Mn1 0.375 0.174 0.299
Mn2 0.826 0.125 0.201
Mn3 0.875 0.076 0.701
Mn4 0.924 0.625 0.799
H1 0.000 0.000 0.000
H2 0.750 0.250 0.500
W1 0.250 0.750 0.500
W2 0.500 0.500 0.000

* D(E_F): 0.6316 states/eV/atom
* DFT total energy: -66.83 eV per cell
* energy above the most stable polymorph in this dataset: 0.0000 eV per atom

***

[2]
Below is a relaxed structure of Mn3HW, with properties calculated at the PBE level.

Unit cell a=3.713 b=3.713 c=3.713 alpha=90.00 beta=90.00 gamma=90.00
Fractional coordinates of all 5 atoms:
Mn1 0.000 0.000 0.500
Mn2 0.000 0.500 0.000
Mn3 0.500 0.000 0.000
H1 0.000 0.000 0.000
W1 0.500 0.500 0.500

* D(E_F): 0.8501 states/eV/atom
* DFT total energy: -43.51 eV per cell
* energy above the most stable polymorph in this dataset: 0.0000 eV per atom

***

[3]
Below is a relaxed structure of Mn5H12W3, with properties calculated at the PBE level.

Unit cell a=9.154 b=9.154 c=9.154 alpha=109.47 beta=109.47 gamma=109.47
Fractional coordinates of all 80 atoms:
Mn1 0.000 0.000 0.000
Mn2 0.000 0.000 0.500
Mn3 0.000 0.500 0.000
Mn4 0.000 0.500 0.500
Mn5 0.125 0.750 0.875
Mn6 0.125 0.875 0.250
Mn7 0.250 0.125 0.875
Mn8 0.250 0.625 0.375
Mn9 0.375 0.250 0.625
Mn10 0.375 0.625 0.750
Mn11 0.500 0.000 0.000
Mn12 0.500 0.000 0.500
Mn13 0.500 0.500 0.000
Mn14 0.500 0.500 0.500
Mn15 0.625 0.375 0.250
Mn16 0.625 0.750 0.375
Mn17 0.750 0.375 0.625
Mn18 0.750 0.875 0.125
Mn19 0.875 0.125 0.750
Mn20 0.875 0.250 0.125
H1 0.055 0.217 0.135
H2 0.055 0.337 0.920
H3 0.080 0.635 0.418
H4 0.080 0.945 0.663
H5 0.082 0.717 0.663
H6 0.082 0.865 0.420
H7 0.135 0.055 0.217
H8 0.135 0.580 0.918
H9 0.163 0.217 0.582
H10 0.163 0.445 0.580
H11 0.217 0.135 0.055
H12 0.217 0.582 0.163
H13 0.283 0.337 0.918
H14 0.283 0.445 0.365
H15 0.337 0.918 0.283
H16 0.337 0.920 0.055
H17 0.365 0.283 0.445
H18 0.365 0.582 0.920
H19 0.418 0.080 0.635
H20 0.418 0.837 0.783
H21 0.420 0.082 0.865
H22 0.420 0.837 0.555
H23 0.445 0.365 0.283
H24 0.445 0.580 0.163
H25 0.555 0.420 0.837
H26 0.555 0.635 0.717
H27 0.580 0.163 0.445
H28 0.580 0.918 0.135
H29 0.582 0.163 0.217
H30 0.582 0.920 0.365
H31 0.635 0.418 0.080
H32 0.635 0.717 0.555
H33 0.663 0.080 0.945
H34 0.663 0.082 0.717
H35 0.717 0.555 0.635
H36 0.717 0.663 0.082
H37 0.783 0.418 0.837
H38 0.783 0.865 0.945
H39 0.837 0.555 0.420
H40 0.837 0.783 0.418
H41 0.865 0.420 0.082
H42 0.865 0.945 0.783
H43 0.918 0.135 0.580
H44 0.918 0.283 0.337
H45 0.920 0.055 0.337
H46 0.920 0.365 0.582
H47 0.945 0.663 0.080
H48 0.945 0.783 0.865
W1 0.125 0.250 0.375
W2 0.125 0.375 0.750
W3 0.250 0.375 0.125
W4 0.250 0.875 0.625
W5 0.375 0.125 0.250
W6 0.375 0.750 0.125
W7 0.625 0.250 0.875
W8 0.625 0.875 0.750
W9 0.750 0.125 0.375
W10 0.750 0.625 0.875
W11 0.875 0.625 0.250
W12 0.875 0.750 0.625

* D(E_F): 0.5431 states/eV/atom
* DFT total energy: -483.24 eV per cell

***

[4]
Below is a relaxed structure of Y3Mn5H12, with properties calculated at the PBE level.

Unit cell a=9.810 b=9.810 c=9.810 alpha=109.47 beta=109.47 gamma=109.47
Fractional coordinates of all 80 atoms:
Y1 0.125 0.250 0.375
Y2 0.125 0.375 0.750
Y3 0.250 0.375 0.125
Y4 0.250 0.875 0.625
Y5 0.375 0.125 0.250
Y6 0.375 0.750 0.125
Y7 0.625 0.250 0.875
Y8 0.625 0.875 0.750
Y9 0.750 0.125 0.375
Y10 0.750 0.625 0.875
Y11 0.875 0.625 0.250
Y12 0.875 0.750 0.625
Mn1 0.000 0.000 0.000
Mn2 0.000 0.000 0.500
Mn3 0.000 0.500 0.000
Mn4 0.000 0.500 0.500
Mn5 0.125 0.750 0.875
Mn6 0.125 0.875 0.250
Mn7 0.250 0.125 0.875
Mn8 0.250 0.625 0.375
Mn9 0.375 0.250 0.625
Mn10 0.375 0.625 0.750
Mn11 0.500 0.000 0.000
Mn12 0.500 0.000 0.500
Mn13 0.500 0.500 0.000
Mn14 0.500 0.500 0.500
Mn15 0.625 0.375 0.250
Mn16 0.625 0.750 0.375
Mn17 0.750 0.375 0.625
Mn18 0.750 0.875 0.125
Mn19 0.875 0.125 0.750
Mn20 0.875 0.250 0.125
H1 0.025 0.190 0.109
H2 0.025 0.335 0.916
H3 0.081 0.690 0.665
H4 0.081 0.891 0.416
H5 0.084 0.609 0.419
H6 0.084 0.975 0.665
H7 0.109 0.025 0.190
H8 0.109 0.584 0.919
H9 0.165 0.190 0.581
H10 0.165 0.475 0.584
H11 0.190 0.109 0.025
H12 0.190 0.581 0.165
H13 0.310 0.335 0.919
H14 0.310 0.475 0.391
H15 0.335 0.916 0.025
H16 0.335 0.919 0.310
H17 0.391 0.310 0.475
H18 0.391 0.581 0.916
H19 0.416 0.081 0.891
H20 0.416 0.835 0.525
H21 0.419 0.084 0.609
H22 0.419 0.835 0.810
H23 0.475 0.391 0.310
H24 0.475 0.584 0.165
H25 0.525 0.416 0.835
H26 0.525 0.609 0.690
H27 0.581 0.165 0.190
H28 0.581 0.916 0.391
H29 0.584 0.165 0.475
H30 0.584 0.919 0.109
H31 0.609 0.419 0.084
H32 0.609 0.690 0.525
H33 0.665 0.081 0.690
H34 0.665 0.084 0.975
H35 0.690 0.525 0.609
H36 0.690 0.665 0.081
H37 0.810 0.419 0.835
H38 0.810 0.891 0.975
H39 0.835 0.525 0.416
H40 0.835 0.810 0.419
H41 0.891 0.416 0.081
H42 0.891 0.975 0.810
H43 0.916 0.025 0.335
H44 0.916 0.391 0.581
H45 0.919 0.109 0.584
H46 0.919 0.310 0.335
H47 0.975 0.665 0.084
H48 0.975 0.810 0.891

* D(E_F): 0.2765 states/eV/atom
* DFT total energy: -437.72 eV per cell

***

[5]
Below is a relaxed structure of YMnH3, with properties calculated at the PBE level.

Unit cell a=4.077 b=4.077 c=4.077 alpha=90.00 beta=90.00 gamma=90.00
Fractional coordinates of all 5 atoms:
Y1 0.000 0.000 0.000
Mn1 0.500 0.500 0.500
H1 0.000 0.000 0.500
H2 0.000 0.500 0.000
H3 0.500 0.000 0.000

* D(E_F): 0.5864 states/eV/atom
* DFT total energy: -24.61 eV per cell

***

[6]
Below is a relaxed structure of YMn3H, with properties calculated at the PBE level.

Unit cell a=4.087 b=4.087 c=4.087 alpha=90.00 beta=90.00 gamma=90.00
Fractional coordinates of all 5 atoms:
Y1 0.000 0.000 0.000
Mn1 0.000 0.500 0.500
Mn2 0.500 0.000 0.500
Mn3 0.500 0.500 0.000
H1 0.500 0.500 0.500

* D(E_F): 0.8371 states/eV/atom
* DFT total energy: -36.16 eV per cell
* energy above the most stable polymorph in this dataset: 0.0000 eV per atom

***

Q: Among the records above, which one has the highest D(E_F)?
A: Mn3HW

***

Q: What is the formula in the sixth record?
A: YMn3H